(1)
DFT (GGA-PBE) results for a relaxed TlS2ClF crystal.

symmetry	P4/mmm
size of the total moment	3.25	μB per formula unit
offset from the most stable computed form	328.3	meV per atom

Cell: 5.3435 5.3435 5.2018 Å, 90.00 90.00 90.00°
Closest atoms and distances in Å follow each position.
Element x y z (fractional)
Cl  0.0000  0.0000  0.5000  2 Tl 2.60
Tl  0.0000  0.0000  0.0000  2 Cl 2.60, 4 S 2.67
F  0.5000  0.5000  0.5000  8 S 3.73, 4 Cl 3.78
S  0.0000  0.5000  0.0000  2 Tl 2.67
S  0.5000  0.0000  0.0000  2 Tl 2.67

***

(2)
DFT (GGA-PBE) results for a relaxed SbOsPt2S crystal.

E_tot	-4.576	eV per atom
symmetry	P4/mmm
size of the total moment	3.20	μB per formula unit

Cell: 4.9297 4.8777 4.9297 Å, 90.00 90.00 90.00°
Closest atoms and distances in Å follow each position.
Element x y z (fractional)
Sb  0.0000  0.0000  0.0000  2 S 2.44, 4 Pt 2.46
Pt  0.0000  0.0000  0.5000  2 Sb 2.46
Pt  0.5000  0.0000  0.0000  2 Sb 2.46
S  0.0000  0.5000  0.0000  2 Sb 2.44
Os  0.5000  0.5000  0.5000  8 Pt 3.47, 4 S 3.49

***

(3)
DFT (GGA-PBE) results for a relaxed Rb2H2F crystal.

symmetry	Cmc2_1
size of the total moment	0.00	μB per formula unit
offset from the most stable computed form	78.5	meV per atom

Cell: 5.1377 5.7431 9.7073 Å, 90.00 105.34 90.00°
Closest atoms and distances in Å follow each position.
Element x y z (fractional)
F  0.5776  0.4273  0.1552  5 Rb 2.77-2.92
Rb  0.5705  0.9272  0.1411  3 F 2.77-2.88, 4 H 3.00-3.01
H  0.0144  0.1263  0.0287  1 H 0.78
H  0.9858  0.2262  0.9716  1 H 0.78
Rb  0.8485  0.9273  0.6970  2 F 2.92, 2 H 3.09-3.10
Rb  0.4295  0.4272  0.8589  3 F 2.77-2.88, 4 H 3.00-3.01
H  0.0142  0.7262  0.0284  1 H 0.78
H  0.9856  0.6263  0.9713  1 H 0.78
Rb  0.1515  0.4273  0.3030  2 F 2.92, 2 H 3.09-3.10
F  0.4224  0.9273  0.8448  5 Rb 2.77-2.92

***

(4)
DFT (GGA-PBE) results for a relaxed Dy5ScHg3 crystal.

symmetry	P6_3/mcm
size of the total moment	0.00	μB per formula unit
ΔH_f (0 K)	-266	kJ/mol of formula units

Cell: 6.7865 9.0330 9.0330 Å, 120.00 90.00 90.00°
Closest atoms and distances in Å follow each position.
Element x y z (fractional)
Dy  0.2500  0.6774  0.0000  3 Hg 3.00-3.05
Hg  0.2500  0.6598  0.6598  3 Dy 3.00-3.05
Hg  0.7500  0.0000  0.6598  3 Dy 3.00-3.05
Dy  0.7500  0.6774  0.6774  3 Hg 3.00-3.05
Dy  0.5000  0.3333  0.6667  8 Dy 3.39-3.50, 6 Hg 3.43
Dy  0.5000  0.6667  0.3333  8 Dy 3.39-3.50, 6 Hg 3.43
Sc  0.5000  0.0000  0.0000  6 Dy 3.37, 2 Sc 3.39, 6 Hg 3.51
Dy  0.7500  0.3226  0.0000  3 Hg 3.00-3.05
Dy  0.2500  0.0000  0.6774  3 Hg 3.00-3.05
Dy  0.2500  0.3226  0.3226  3 Hg 3.00-3.05
Sc  0.0000  0.0000  0.0000  6 Dy 3.37, 2 Sc 3.39, 6 Hg 3.51
Dy  0.0000  0.6667  0.3333  8 Dy 3.39-3.50, 6 Hg 3.43
Hg  0.2500  0.0000  0.3402  3 Dy 3.00-3.05
Dy  0.0000  0.3333  0.6667  8 Dy 3.39-3.50, 6 Hg 3.43
Hg  0.2500  0.3403  0.0000  3 Dy 3.00-3.05
Hg  0.7500  0.6597  0.0000  3 Dy 3.00-3.05
Dy  0.7500  0.0000  0.3226  3 Hg 3.00-3.05
Hg  0.7500  0.3402  0.3402  3 Dy 3.00-3.05

***

(5)
DFT (GGA-PBE) results for a relaxed Zr2FeAu2 crystal.

symmetry	P4/mbm
size of the total moment	0.00	μB per formula unit
ΔH_f (0 K)	-16	kJ/mol of formula units

Cell: 7.0833 7.0833 3.8326 Å, 90.00 90.00 90.00°
Closest atoms and distances in Å follow each position.
Element x y z (fractional)
Fe  0.5000  0.5000  0.0000  4 Au 2.76
Au  0.8647  0.6353  0.0000  6 Zr 2.70-2.93, 1 Au 2.71, 2 Fe 2.76
Au  0.3647  0.8647  0.0000  6 Zr 2.70-2.93, 1 Au 2.71, 2 Fe 2.76
Zr  0.3258  0.1742  0.5000  6 Au 2.70-2.93
Zr  0.6742  0.8258  0.5000  6 Au 2.70-2.93
Au  0.1353  0.3647  0.0000  6 Zr 2.70-2.93, 1 Au 2.71, 2 Fe 2.76
Zr  0.1742  0.6742  0.5000  6 Au 2.70-2.93
Zr  0.8258  0.3258  0.5000  6 Au 2.70-2.93
Fe  0.0000  0.0000  0.0000  4 Au 2.76
Au  0.6353  0.1353  0.0000  6 Zr 2.70-2.93, 1 Au 2.71, 2 Fe 2.76

***

(6)
DFT (GGA-PBE) results for a relaxed TaHgBr2 crystal.

symmetry	Cmm2
size of the total moment	0.00	μB per formula unit
offset from the most stable computed form	361.0	meV per atom

Cell: 3.5102 3.5102 10.1978 Å, 90.00 90.00 124.76°
Closest atoms and distances in Å follow each position.
Element x y z (fractional)
Hg  0.0000  0.0000  0.5133  2 Br 2.73, 2 Ta 2.87
Br  0.5000  0.5000  0.2980  2 Hg 2.73
Ta  0.5000  0.5000  0.7448  2 Br 2.60, 2 Hg 2.87
Br  0.0000  0.0000  0.9439  2 Ta 2.60

***

(7)
DFT (GGA-PBE) results for a relaxed P2HIrAu crystal.

symmetry	Cm
size of the total moment	0.00	μB per formula unit
offset from the most stable computed form	50.9	meV per atom

Cell: 6.5368 3.6534 7.0136 Å, 90.00 106.72 90.00°
Closest atoms and distances in Å follow each position.
Element x y z (fractional)
Au  0.1791  0.5000  0.6759  3 P 2.36-2.50
P  0.5547  0.5000  0.7516  1 H 1.54
P  0.9133  0.5000  0.1631  3 Ir 2.33-2.52, 2 Au 2.50
H  0.5314  0.0000  0.0274  1 P 1.54
Au  0.1791  0.0000  0.1759  3 P 2.36-2.50
H  0.5314  0.5000  0.5274  1 P 1.54
P  0.9133  0.0000  0.6631  3 Ir 2.33-2.52, 2 Au 2.50
P  0.5547  0.0000  0.2516  1 H 1.54
Ir  0.7515  0.0000  0.9186  1 H 1.81
Ir  0.7515  0.5000  0.4186  1 H 1.81

***

(8)
DFT (GGA-PBE) results for a relaxed Pm2ThSn crystal.

symmetry	Fm-3m
size of the total moment	0.00	μB per formula unit
ΔH_f (0 K)	-67	kJ/mol of formula units
offset from the most stable computed form	213.7	meV per atom

Cell: 5.5287 5.5287 5.5287 Å, 60.00 60.00 60.00°
Closest atoms and distances in Å follow each position.
Element x y z (fractional)
Pm  0.7500  0.7500  0.7500  4 Th 3.39, 4 Sn 3.39
Th  0.5000  0.5000  0.5000  8 Pm 3.39
Sn  0.0000  0.0000  0.0000  8 Pm 3.39
Pm  0.2500  0.2500  0.2500  4 Sn 3.39, 4 Th 3.39

***

(9)
DFT (GGA-PBE) results for a relaxed Ac3SmTe4 crystal.

E_tot	-5.152	eV per atom
symmetry	Cmmm
size of the total moment	0.00	μB per formula unit

Cell: 4.5970 8.1165 8.1165 Å, 108.72 90.00 90.00°
Closest atoms and distances in Å follow each position.
Element x y z (fractional)
Te  0.0000  0.2369  0.2369  2 Sm 3.21, 4 Ac 3.30-3.39
Te  0.5000  0.7568  0.2432  1 Sm 3.21, 5 Ac 3.30-3.39
Ac  0.0000  0.0000  0.5000  6 Te 3.30
Sm  0.5000  0.0000  0.0000  6 Te 3.21
Te  0.5000  0.2432  0.7568  1 Sm 3.21, 5 Ac 3.30-3.39
Ac  0.0000  0.5000  0.0000  6 Te 3.30
Ac  0.5000  0.5000  0.5000  6 Te 3.39
Te  0.0000  0.7631  0.7631  2 Sm 3.21, 4 Ac 3.30-3.39

***

(10)
DFT (GGA-PBE) results for a relaxed CoRu2Cl crystal.

symmetry	Pmmm
size of the total moment	3.25	μB per formula unit
offset from the most stable computed form	476.4	meV per atom

Cell: 2.7765 4.7001 4.3650 Å, 90.00 90.00 90.00°
Closest atoms and distances in Å follow each position.
Element x y z (fractional)
Ru  0.5000  0.5000  0.0000  4 Co 2.59, 6 Ru 2.73-2.78
Cl  0.5000  0.0000  0.5000  4 Ru 2.59, 4 Co 2.73, 2 Cl 2.78
Co  0.0000  0.5000  0.5000  4 Ru 2.59, 4 Cl 2.73, 2 Co 2.78
Ru  0.0000  0.0000  0.0000  4 Cl 2.59, 6 Ru 2.73-2.78

***

(11)
DFT (GGA-PBE) results for a relaxed NaGd3Co crystal.

symmetry	Pm-3m
size of the total moment	21.54	μB per formula unit
ΔH_f (0 K)	9	kJ/mol of formula units

Cell: 5.3354 5.3354 5.3354 Å, 90.00 90.00 90.00°
Closest atoms and distances in Å follow each position.
Element x y z (fractional)
Gd  0.0000  0.5000  0.0000  2 Co 2.67
Gd  0.0000  0.0000  0.5000  2 Co 2.67
Co  0.0000  0.0000  0.0000  6 Gd 2.67
Na  0.5000  0.5000  0.5000  12 Gd 3.77
Gd  0.5000  0.0000  0.0000  2 Co 2.67

***

(12)
DFT (GGA-PBE) results for a relaxed Mn2TlSe crystal.

symmetry	I-4m2
size of the total moment	8.36	μB per formula unit
offset from the most stable computed form	205.4	meV per atom

Cell: 6.0369 6.0369 6.0369 Å, 142.44 142.44 54.16°
Closest atoms and distances in Å follow each position.
Element x y z (fractional)
Mn  0.2500  0.7500  0.5000  4 Tl 2.75
Mn  0.0000  0.0000  0.0000  4 Se 2.75
Tl  0.7500  0.2500  0.5000  4 Mn 2.75
Se  0.5000  0.5000  0.0000  4 Mn 2.75